Arrangement P

Computed, not measured: an optimized crystal structure of Sc2HPb at the PBE-GGA level of DFT.

Results
- Fermi-level density of states: 2.6 states/eV/cell
- Symmetry: I-42d, No. 122

a = 6.5346 Å, b = 6.5346 Å, c = 5.8193 Å
α = 55.84°, β = 55.84°, γ = 90.00°
Last column: nearest neighbours and their distance in Å.
Fractional coordinates of all 8 atoms:
Pb 0.0000 0.0000 0.0000  8 Sc 3.00-3.25
Pb 0.7500 0.2500 0.5000  8 Sc 3.00-3.25
Sc 0.5154 0.1250 0.2500  2 H 2.07
Sc 0.2346 0.6250 0.2500  2 H 2.07
Sc 0.3750 0.4846 0.7500  2 H 2.07
Sc 0.8750 0.7654 0.7500  2 H 2.07
H 0.5000 0.5000 0.0000  4 Sc 2.07
H 0.2500 0.7500 0.5000  4 Sc 2.07

=====

Arrangement Q

Computed, not measured: an optimized crystal structure of Sc2HPb at the PBE-GGA level of DFT.

Results
- Fermi-level density of states: 13.0 states/eV/cell
- Symmetry: P2_1/c, No. 14

a = 6.2118 Å, b = 6.1103 Å, c = 8.0073 Å
α = 90.00°, β = 81.23°, γ = 90.00°
Last column: nearest neighbours and their distance in Å.
Fractional coordinates of all 16 atoms:
Sc 0.5399 0.6444 0.1959  1 H 2.14
Sc 0.0399 0.8556 0.1959  1 H 2.14
Sc 0.8010 0.3613 0.4562  3 H 2.00-2.07
Sc 0.9601 0.1444 0.8041  1 H 2.14
Sc 0.1990 0.6387 0.5438  3 H 2.00-2.07
Sc 0.6990 0.8613 0.5438  3 H 2.00-2.07
Sc 0.4601 0.3556 0.8041  1 H 2.14
Sc 0.3010 0.1387 0.4562  3 H 2.00-2.07
H 0.5672 0.1720 0.5795  4 Sc 2.00-2.14
H 0.0672 0.3280 0.5795  4 Sc 2.00-2.14
H 0.4328 0.8280 0.4205  4 Sc 2.00-2.14
H 0.9328 0.6720 0.4205  4 Sc 2.00-2.14
Pb 0.1357 0.3585 0.1400  7 Sc 3.02-3.32, 1 H 3.07, 2 Pb 3.38
Pb 0.3643 0.8585 0.8600  7 Sc 3.02-3.32, 1 H 3.07, 2 Pb 3.38
Pb 0.6357 0.1415 0.1400  7 Sc 3.02-3.32, 1 H 3.07, 2 Pb 3.38
Pb 0.8643 0.6415 0.8600  7 Sc 3.02-3.32, 1 H 3.07, 2 Pb 3.38

=====

Arrangement R

Computed, not measured: an optimized crystal structure of Sc2HPb at the PBE-GGA level of DFT.

Results
- Fermi-level density of states: 4.6 states/eV/cell
- Symmetry: P4/nmm, No. 129

a = 4.2793 Å, b = 4.2793 Å, c = 8.0333 Å
α = 90.02°, β = 90.02°, γ = 90.00°
Last column: nearest neighbours and their distance in Å.
Fractional coordinates of all 8 atoms:
Sc 0.7503 0.7503 0.8380  1 H 2.10
Sc 0.7500 0.2500 0.5000  4 H 2.23
Sc 0.2497 0.2497 0.1620  1 H 2.10
Sc 0.2500 0.7500 0.5000  4 H 2.23
H 0.2499 0.2499 0.4235  5 Sc 2.10-2.23
H 0.7501 0.7501 0.5765  5 Sc 2.10-2.23
Pb 0.2503 0.2503 0.7892  1 H 2.94, 9 Sc 2.99-3.16
Pb 0.7497 0.7497 0.2108  1 H 2.94, 9 Sc 2.99-3.16

=====

From most stable to least stable, the computed energies give arrangement R, arrangement Q, arrangement P.

=====

Arrangement P

Computed, not measured: an optimized crystal structure of Sc4HPb2 at the PBE-GGA level of DFT.

Results
- Fermi-level density of states: 6.3 states/eV/cell
- Symmetry: I4/mmm, No. 139

a = 4.3285 Å, b = 4.3285 Å, c = 8.4538 Å
α = 104.83°, β = 104.83°, γ = 90.00°
Last column: nearest neighbours and their distance in Å.
Fractional coordinates of all 7 atoms:
Pb 0.6403 0.6403 0.2807  9 Sc 2.97-3.10
Pb 0.3597 0.3597 0.7193  9 Sc 2.97-3.10
Sc 0.8290 0.8290 0.6580  1 H 2.69, 1 Pb 2.97
Sc 0.1710 0.1710 0.3420  1 H 2.69, 1 Pb 2.97
Sc 0.0000 0.5000 0.0000  2 H 2.16
Sc 0.5000 0.0000 0.0000  2 H 2.16
H 0.0000 0.0000 0.0000  4 Sc 2.16

=====

Arrangement Q

Computed, not measured: an optimized crystal structure of Sc4HPb2 at the PBE-GGA level of DFT.

Results
- Fermi-level density of states: 9.3 states/eV/cell
- Symmetry: P2_1/m, No. 11

a = 5.9352 Å, b = 6.1151 Å, c = 8.6499 Å
α = 90.00°, β = 109.63°, γ = 90.00°
Last column: nearest neighbours and their distance in Å.
Fractional coordinates of all 14 atoms:
Sc 0.5406 0.5006 0.3078  1 H 2.07
Sc 0.1391 0.7500 0.9550  1 H 2.09
Sc 0.8609 0.2500 0.0450  1 H 2.09
Sc 0.5406 0.9994 0.3078  1 H 2.07
Sc 0.9305 0.2500 0.6614  1 H 2.03
Sc 0.4594 0.0006 0.6922  1 H 2.07
Sc 0.4594 0.4994 0.6922  1 H 2.07
Sc 0.0695 0.7500 0.3386  1 H 2.03
H 0.3002 0.7500 0.2101  4 Sc 2.03-2.09
H 0.6998 0.2500 0.7899  4 Sc 2.03-2.09
Pb 0.6815 0.7500 0.0241  9 Sc 2.91-3.23, 1 H 3.19
Pb 0.3185 0.2500 0.9759  9 Sc 2.91-3.23, 1 H 3.19
Pb 0.1306 0.2500 0.3930  8 Sc 2.90-3.17
Pb 0.8694 0.7500 0.6070  8 Sc 2.90-3.17

=====

From most stable to least stable, the computed energies give arrangement Q, arrangement P.

=====

Arrangement P

Computed, not measured: an optimized crystal structure of ScH2Pb at the PBE-GGA level of DFT.

Results
- Fermi-level density of states: 2.3 states/eV/cell
- Symmetry: Fm-3m, No. 225

a = 4.2673 Å, b = 4.2673 Å, c = 4.2673 Å
α = 60.00°, β = 60.00°, γ = 60.00°
Last column: nearest neighbours and their distance in Å.
Fractional coordinates of all 4 atoms:
Pb 0.5000 0.5000 0.5000  8 H 2.61
Sc 0.0000 0.0000 0.0000  8 H 2.61
H 0.2500 0.2500 0.2500  4 Pb 2.61, 4 Sc 2.61
H 0.7500 0.7500 0.7500  4 Pb 2.61, 4 Sc 2.61

=====

Arrangement Q

Computed, not measured: an optimized crystal structure of ScH2Pb at the PBE-GGA level of DFT.

Results
- Fermi-level density of states: 5.0 states/eV/cell
- Symmetry: Pnma, No. 62

a = 6.2816 Å, b = 5.8558 Å, c = 6.4304 Å
α = 90.00°, β = 90.00°, γ = 90.00°
Last column: nearest neighbours and their distance in Å.
Fractional coordinates of all 16 atoms:
Sc 0.5911 0.2500 0.4209  4 H 1.96-1.98
Sc 0.0911 0.7500 0.0791  4 H 1.96-1.98
Sc 0.4089 0.7500 0.5791  4 H 1.96-1.98
Sc 0.9089 0.2500 0.9209  4 H 1.96-1.98
H 0.9622 0.0472 0.1577  2 Sc 1.96-1.98, 1 H 2.15
H 0.4622 0.9528 0.3423  2 Sc 1.96-1.98, 1 H 2.15
H 0.0378 0.5472 0.8423  2 Sc 1.96-1.98, 1 H 2.15
H 0.5378 0.4528 0.6577  2 Sc 1.96-1.98, 1 H 2.15
H 0.0378 0.9528 0.8423  2 Sc 1.96-1.98, 1 H 2.15
H 0.5378 0.0472 0.6577  2 Sc 1.96-1.98, 1 H 2.15
H 0.9622 0.4528 0.1577  2 Sc 1.96-1.98, 1 H 2.15
H 0.4622 0.5472 0.3423  2 Sc 1.96-1.98, 1 H 2.15
Pb 0.3952 0.2500 0.9412  2 H 2.35
Pb 0.8952 0.7500 0.5588  2 H 2.35
Pb 0.6048 0.7500 0.0588  2 H 2.35
Pb 0.1048 0.2500 0.4412  2 H 2.35

=====

From most stable to least stable, the computed energies give arrangement Q, arrangement P.

=====

Arrangement P

Computed, not measured: an optimized crystal structure of ScH2Pb at the PBE-GGA level of DFT.

Results
- Fermi-level density of states: 0.4 states/eV/cell
- Symmetry: R-3m, No. 166

a = 3.3952 Å, b = 3.3952 Å, c = 5.9061 Å
α = 73.30°, β = 73.30°, γ = 60.00°
Last column: nearest neighbours and their distance in Å.
Fractional coordinates of all 4 atoms:
Pb 0.5000 0.5000 0.5000  8 H 3.06-3.22, 6 Pb 3.40, 6 Sc 3.41
Sc 0.0000 0.0000 0.0000  6 H 2.01
H 0.6926 0.6926 0.9221  3 Sc 2.01, 3 H 2.14
H 0.3074 0.3074 0.0779  3 Sc 2.01, 3 H 2.14

=====

Arrangement Q

Computed, not measured: an optimized crystal structure of ScH2Pb at the PBE-GGA level of DFT.

Results
- Fermi-level density of states: 1.9 states/eV/cell
- Symmetry: I-42d, No. 122

a = 4.8260 Å, b = 4.8260 Å, c = 6.3462 Å
α = 67.65°, β = 67.65°, γ = 90.00°
Last column: nearest neighbours and their distance in Å.
Fractional coordinates of all 8 atoms:
Pb 0.0000 0.0000 0.0000  4 H 2.65
Pb 0.7500 0.2500 0.5000  4 H 2.65
Sc 0.5000 0.5000 0.0000  4 H 1.86
Sc 0.2500 0.7500 0.5000  4 H 1.86
H 0.4734 0.1250 0.2500  2 Sc 1.86
H 0.2766 0.6250 0.2500  2 Sc 1.86
H 0.3750 0.5266 0.7500  2 Sc 1.86
H 0.8750 0.7234 0.7500  2 Sc 1.86

=====

From most stable to least stable, the computed energies give arrangement P, arrangement Q.

=====

Arrangement P

Computed, not measured: an optimized crystal structure of ScHPb3 at the PBE-GGA level of DFT.

Results
- Fermi-level density of states: 5.4 states/eV/cell
- Symmetry: Pm-3m, No. 221

a = 5.6527 Å, b = 5.6527 Å, c = 5.6527 Å
α = 90.00°, β = 90.00°, γ = 90.00°
Last column: nearest neighbours and their distance in Å.
Fractional coordinates of all 5 atoms:
Pb 0.0000 0.5000 0.0000  2 Sc 2.83
Pb 0.0000 0.0000 0.5000  2 Sc 2.83
Pb 0.5000 0.0000 0.0000  2 Sc 2.83
Sc 0.0000 0.0000 0.0000  6 Pb 2.83
H 0.5000 0.5000 0.5000  12 Pb 4.00

=====

Arrangement Q

Computed, not measured: an optimized crystal structure of ScHPb3 at the PBE-GGA level of DFT.

Results
- Fermi-level density of states: 3.0 states/eV/cell
- Symmetry: Pm-3m, No. 221

a = 4.8672 Å, b = 4.8672 Å, c = 4.8672 Å
α = 90.00°, β = 90.00°, γ = 90.00°
Last column: nearest neighbours and their distance in Å.
Fractional coordinates of all 5 atoms:
Pb 0.0000 0.5000 0.0000  2 H 2.43
Pb 0.0000 0.0000 0.5000  2 H 2.43
Pb 0.5000 0.0000 0.0000  2 H 2.43
Sc 0.5000 0.5000 0.5000  12 Pb 3.44
H 0.0000 0.0000 0.0000  6 Pb 2.43

=====

From most stable to least stable, the computed energies give arrangement Q, arrangement P.

=====

Arrangement P

Computed, not measured: an optimized crystal structure of ScSiHPb2 at the PBE-GGA level of DFT.

Results
- Fermi-level density of states: 3.7 states/eV/cell
- Symmetry: P4/mmm, No. 123

a = 5.6552 Å, b = 5.0923 Å, c = 5.6552 Å
α = 90.00°, β = 90.00°, γ = 90.00°
Last column: nearest neighbours and their distance in Å.
Fractional coordinates of all 5 atoms:
Pb 0.0000 0.0000 0.5000  2 Sc 2.83
Pb 0.5000 0.0000 0.0000  2 Sc 2.83
Sc 0.0000 0.0000 0.0000  2 Si 2.55, 4 Pb 2.83
Si 0.0000 0.5000 0.0000  2 Sc 2.55
H 0.5000 0.5000 0.5000  8 Pb 3.81, 4 Si 4.00

=====

Arrangement Q

Computed, not measured: an optimized crystal structure of ScSiHPb2 at the PBE-GGA level of DFT.

Results
- Fermi-level density of states: 3.2 states/eV/cell
- Symmetry: P4/mmm, No. 123

a = 5.3685 Å, b = 5.0925 Å, c = 5.3685 Å
α = 90.00°, β = 90.00°, γ = 90.00°
Last column: nearest neighbours and their distance in Å.
Fractional coordinates of all 5 atoms:
Pb 0.0000 0.0000 0.5000  2 Si 2.68
Pb 0.5000 0.0000 0.0000  2 Si 2.68
Sc 0.0000 0.5000 0.0000  2 Si 2.55
Si 0.0000 0.0000 0.0000  2 Sc 2.55, 4 Pb 2.68
H 0.5000 0.5000 0.5000  8 Pb 3.70, 4 Sc 3.80

=====

From most stable to least stable, the computed energies give arrangement Q, arrangement P.